First-principles (PBE) data for crystalline Li4Pm9Cd11 at its relaxed geometry, as listed in Alexandria.

```
Li4Pm9Cd11
1.0
-1.5064 -2.0101 2.3243
11.7224 -0.6384 7.0453
-7.1992 10.7031 4.5906
Li Pm Cd
4 9 11
Direct
0.5000 0.5413 0.7449
0.5000 0.4587 0.2551
0.5000 0.7449 0.5413
0.5000 0.2551 0.4587
0.5000 0.6428 0.1395
0.5000 0.3572 0.8605
0.5000 0.1395 0.6428
0.5000 0.8605 0.3572
0.5000 0.7784 0.9283
0.5000 0.2216 0.0717
0.5000 0.9283 0.7784
0.5000 0.0717 0.2216
0.5000 0.5000 0.5000
0.0000 0.5722 0.9243
0.0000 0.4278 0.0757
0.0000 0.9243 0.5722
0.0000 0.0757 0.4278
0.0000 0.6403 0.3597
0.0000 0.3597 0.6403
0.0000 0.8540 0.1460
0.0000 0.1460 0.8540
0.0000 0.0000 0.0000
0.0000 0.6954 0.6954
0.0000 0.3046 0.3046
```

Properties
* formation energy: -0.234 eV/atom
* density of states at the Fermi level: 0.87 states/eV per atom
* total magnetic moment: 0.000 μB/atom
* symmetry: Cmmm, No. 65